Zr4IrS: optimized geometry, GGA-PBE.

Output
Total magnetic moment: 0.00 μB per cell
Uncorrected formation energy: -328 kJ/mol of formula units
E: -8.4304 eV/atom

```
data_Zr4IrS
_chemical_formula_sum 'Zr8 Ir2 S2'
_cell_length_a 3.515
_cell_length_b 6.431
_cell_length_c 11.526
_cell_angle_alpha 91.39
_cell_angle_beta 90.00
_cell_angle_gamma 90.00
_symmetry_space_group_name_H-M 'P 1'
_symmetry_Int_Tables_number 1
loop_
_symmetry_equiv_pos_as_xyz
'x,y,z'
loop_
_atom_site_label
_atom_site_fract_x
_atom_site_fract_y
_atom_site_fract_z
Zr1 0.500 0.834 0.137
Zr2 0.000 0.334 0.637
Zr3 0.000 0.666 0.363
Zr4 0.000 0.332 0.142
Zr5 0.500 0.166 0.863
Zr6 0.500 0.168 0.358
Zr7 0.000 0.668 0.858
Zr8 0.500 0.832 0.642
Ir1 0.000 0.000 0.500
Ir2 0.500 0.500 0.000
S1 0.500 0.500 0.500
S2 0.000 0.000 0.000
```



ZrIrS3: optimized geometry, GGA-PBE.

Output
Total magnetic moment: 3.12 μB per cell
Uncorrected formation energy: 252 kJ/mol of formula units
Distance to the lowest polymorph of the same formula: 0.4428 eV per atom
E: -5.4349 eV/atom

```
data_ZrIrS3
_chemical_formula_sum 'Zr1 Ir1 S3'
_cell_length_a 4.920
_cell_length_b 4.920
_cell_length_c 4.920
_cell_angle_alpha 90.00
_cell_angle_beta 90.00
_cell_angle_gamma 90.00
_symmetry_space_group_name_H-M 'P 1'
_symmetry_Int_Tables_number 1
loop_
_symmetry_equiv_pos_as_xyz
'x,y,z'
loop_
_atom_site_label
_atom_site_fract_x
_atom_site_fract_y
_atom_site_fract_z
Zr1 0.000 0.000 0.000
S1 0.000 0.000 0.500
S2 0.500 0.000 0.000
S3 0.000 0.500 0.000
Ir1 0.500 0.500 0.500
```



Zr3IrS: optimized geometry, GGA-PBE.

Output
Total magnetic moment: 0.00 μB per cell
Uncorrected formation energy: -173 kJ/mol of formula units
Distance to the lowest polymorph of the same formula: 0.0000 eV per atom
E: -8.0854 eV/atom

```
data_Zr3IrS
_chemical_formula_sum 'Zr3 Ir1 S1'
_cell_length_a 4.719
_cell_length_b 4.719
_cell_length_c 4.719
_cell_angle_alpha 90.00
_cell_angle_beta 90.00
_cell_angle_gamma 90.00
_symmetry_space_group_name_H-M 'P 1'
_symmetry_Int_Tables_number 1
loop_
_symmetry_equiv_pos_as_xyz
'x,y,z'
loop_
_atom_site_label
_atom_site_fract_x
_atom_site_fract_y
_atom_site_fract_z
S1 0.000 0.000 0.000
Zr1 0.000 0.000 0.500
Zr2 0.000 0.500 0.000
Zr3 0.500 0.000 0.000
Ir1 0.500 0.500 0.500
```